[1]
{
  "formula": "Cu2Cl",
  "functional": "PBE",
  "state": "optimized geometry",
  "volume_a3_per_atom": 16.721,
  "n_ef_per_ev_cell": 1.8,
  "energy_ry_per_atom": -0.2443,
  "sg": "C2/m, No. 12",
  "polymorph_energy_mev_per_atom": 244,
  "cell": [[5.502, -1.554, 0.000], [5.502, 1.554, 0.000], [-3.963, 0.000, 5.866]],
  "species": ["Cu", "Cu", "Cu", "Cu", "Cl", "Cl"],
  "fractional_positions": [[0.147, 0.147, 0.370], [0.248, 0.248, 0.781], [0.752, 0.752, 0.219], [0.853, 0.853, 0.630], [0.422, 0.422, 0.187], [0.578, 0.578, 0.813]]
}

---

[2]
{
  "formula": "Cu2Cl",
  "functional": "PBE",
  "state": "optimized geometry",
  "volume_a3_per_atom": 17.743,
  "energy_ry_per_atom": -0.2622,
  "sg": "C2/m, No. 12",
  "polymorph_energy_mev_per_atom": 0,
  "cell": [[8.003, -1.791, 0.000], [8.003, 1.791, 0.000], [-0.398, 0.000, 3.714]],
  "species": ["Cu", "Cu", "Cu", "Cu", "Cl", "Cl"],
  "fractional_positions": [[0.056, 0.056, 0.257], [0.443, 0.443, 0.223], [0.557, 0.557, 0.777], [0.944, 0.944, 0.743], [0.160, 0.160, 0.729], [0.840, 0.840, 0.271]]
}